1.
Density functional theory data (GGA-PBE) for an optimized crystal structure of Dy5ErRu3.

Values from the calculation:
formation energy: -0.2210 eV/atom
N(E_F): 10.2 states/eV/cell

```
data_Dy5ErRu3
_chemical_formula_sum 'Dy20 Er4 Ru12'
_space_group_name_H-M_alt 'C 1 2/m 1'
_space_group_IT_number 12
_space_group_name_Hall '-C 2y'
_cell_length_a 12.242
_cell_length_b 9.021
_cell_length_c 9.901
_cell_angle_alpha 90.00
_cell_angle_beta 112.53
_cell_angle_gamma 90.00
loop_
_atom_site_label
_atom_site_type_symbol
_atom_site_fract_x
_atom_site_fract_y
_atom_site_fract_z
Dy1 Dy 0.000 0.200 0.000
Dy2 Dy 0.064 0.000 0.365
Dy3 Dy 0.168 0.301 0.665
Dy4 Dy 0.233 0.500 0.035
Er1 Er 0.098 0.500 0.298
Ru1 Ru 0.000 0.500 0.000
Ru2 Ru 0.000 0.500 0.500
Ru3 Ru 0.166 0.000 0.166
Ru4 Ru 0.169 0.000 0.665
```

***

2.
Density functional theory data (GGA-PBE) for an optimized crystal structure of Dy2ErRu2.

Values from the calculation:
formation energy: -0.3445 eV/atom
N(E_F): 5.2 states/eV/cell
excess energy over the best structure of this formula in the dataset: 0.0 meV per atom

```
data_Dy2ErRu2
_chemical_formula_sum 'Dy4 Er2 Ru4'
_space_group_name_H-M_alt 'C m m m'
_space_group_IT_number 65
_space_group_name_Hall '-C 2 2'
_cell_length_a 3.384
_cell_length_b 20.377
_cell_length_c 3.364
_cell_angle_alpha 90.00
_cell_angle_beta 90.00
_cell_angle_gamma 90.00
loop_
_atom_site_label
_atom_site_type_symbol
_atom_site_fract_x
_atom_site_fract_y
_atom_site_fract_z
Dy1 Dy 0.000 0.165 0.000
Er1 Er 0.000 0.000 0.000
Ru1 Ru 0.000 0.413 0.500
```

***

3.
Density functional theory data (GGA-PBE) for an optimized crystal structure of DyEr5Ru4.

Values from the calculation:
formation energy: -0.3108 eV/atom
N(E_F): 15.1 states/eV/cell
excess energy over the best structure of this formula in the dataset: 27.4 meV per atom

```
data_DyEr5Ru4
_chemical_formula_sum 'Dy2 Er10 Ru8'
_space_group_name_H-M_alt 'C 1 2/m 1'
_space_group_IT_number 12
_space_group_name_Hall '-C 2y'
_cell_length_a 14.214
_cell_length_b 4.823
_cell_length_c 6.672
_cell_angle_alpha 90.00
_cell_angle_beta 90.25
_cell_angle_gamma 90.00
loop_
_atom_site_label
_atom_site_type_symbol
_atom_site_fract_x
_atom_site_fract_y
_atom_site_fract_z
Dy1 Dy 0.000 0.000 0.000
Er1 Er 0.000 0.000 0.500
Er2 Er 0.167 0.500 0.003
Er3 Er 0.167 0.500 0.503
Ru1 Ru 0.001 0.500 0.749
Ru2 Ru 0.165 0.000 0.751
```

***

4.
Density functional theory data (GGA-PBE) for an optimized crystal structure of Dy2ErRu.

Values from the calculation:
formation energy: 0.1143 eV/atom
N(E_F): 20.4 states/eV/cell
excess energy over the best structure of this formula in the dataset: 448.5 meV per atom

```
data_Dy2ErRu
_chemical_formula_sum 'Dy6 Er3 Ru3'
_space_group_name_H-M_alt 'R -3 m'
_space_group_IT_number 166
_space_group_name_Hall '-R 3 2"'
_cell_length_a 3.4847
_cell_length_b 3.4847
_cell_length_c 31.8362
_cell_angle_alpha 90.00
_cell_angle_beta 90.00
_cell_angle_gamma 120.00
loop_
_atom_site_label
_atom_site_type_symbol
_atom_site_fract_x
_atom_site_fract_y
_atom_site_fract_z
Dy1 Dy 0.0000 0.0000 0.1066
Er1 Er 0.0000 0.0000 0.0000
Ru1 Ru 0.0000 0.0000 0.5000
```

***

5.
Density functional theory data (GGA-PBE) for an optimized crystal structure of Dy3ErRu3.

Values from the calculation:
formation energy: -0.3541 eV/atom
N(E_F): 15.7 states/eV/cell
excess energy over the best structure of this formula in the dataset: 23.7 meV per atom

```
data_Dy3ErRu3
_chemical_formula_sum 'Dy12 Er4 Ru12'
_space_group_name_H-M_alt 'C 1 2/m 1'
_space_group_IT_number 12
_space_group_name_Hall '-C 2y'
_cell_length_a 9.656
_cell_length_b 9.587
_cell_length_c 6.722
_cell_angle_alpha 90.00
_cell_angle_beta 90.16
_cell_angle_gamma 90.00
loop_
_atom_site_label
_atom_site_type_symbol
_atom_site_fract_x
_atom_site_fract_y
_atom_site_fract_z
Dy1 Dy 0.000 0.246 0.000
Dy2 Dy 0.000 0.250 0.500
Dy3 Dy 0.246 0.000 0.001
Er1 Er 0.242 0.000 0.501
Ru1 Ru 0.000 0.000 0.251
Ru2 Ru 0.250 0.250 0.251
```

***

6.
Density functional theory data (GGA-PBE) for an optimized crystal structure of DyErRu.

Values from the calculation:
formation energy: -0.3638 eV/atom
N(E_F): 6.9 states/eV/cell
excess energy over the best structure of this formula in the dataset: 0.4 meV per atom

```
data_DyErRu
_chemical_formula_sum 'Dy4 Er4 Ru4'
_space_group_name_H-M_alt 'P n m a'
_space_group_IT_number 62
_space_group_name_Hall '-P 2ac 2n'
_cell_length_a 6.762
_cell_length_b 3.393
_cell_length_c 12.916
_cell_angle_alpha 90.00
_cell_angle_beta 90.00
_cell_angle_gamma 90.00
loop_
_atom_site_label
_atom_site_type_symbol
_atom_site_fract_x
_atom_site_fract_y
_atom_site_fract_z
Dy1 Dy 0.126 0.250 0.122
Er1 Er 0.125 0.250 0.376
Ru1 Ru 0.124 0.250 0.750
```

***

7.
Density functional theory data (GGA-PBE) for an optimized crystal structure of Dy3ErRu2.

Values from the calculation:
formation energy: -0.3495 eV/atom
N(E_F): 19.7 states/eV/cell
excess energy over the best structure of this formula in the dataset: 0.0 meV per atom

```
data_Dy3ErRu2
_chemical_formula_sum 'Dy12 Er4 Ru8'
_space_group_name_H-M_alt 'C m c m'
_space_group_IT_number 63
_space_group_name_Hall '-C 2c 2'
_cell_length_a 9.553
_cell_length_b 9.563
_cell_length_c 6.329
_cell_angle_alpha 90.00
_cell_angle_beta 90.00
_cell_angle_gamma 90.00
loop_
_atom_site_label
_atom_site_type_symbol
_atom_site_fract_x
_atom_site_fract_y
_atom_site_fract_z
Dy1 Dy 0.000 0.069 0.250
Dy2 Dy 0.182 0.250 0.750
Er1 Er 0.000 0.433 0.250
Ru1 Ru 0.249 0.500 0.000
```

***

8.
Density functional theory data (GGA-PBE) for an optimized crystal structure of DyEr2Ru.

Values from the calculation:
formation energy: -0.3476 eV/atom
N(E_F): 12.2 states/eV/cell
excess energy over the best structure of this formula in the dataset: 0.0 meV per atom

```
data_DyEr2Ru
_chemical_formula_sum 'Dy4 Er8 Ru4'
_space_group_name_H-M_alt 'P n m a'
_space_group_IT_number 62
_space_group_name_Hall '-P 2ac 2n'
_cell_length_a 7.281
_cell_length_b 9.082
_cell_length_c 6.275
_cell_angle_alpha 90.00
_cell_angle_beta 90.00
_cell_angle_gamma 90.00
loop_
_atom_site_label
_atom_site_type_symbol
_atom_site_fract_x
_atom_site_fract_y
_atom_site_fract_z
Dy1 Dy 0.040 0.250 0.131
Er1 Er 0.176 0.064 0.668
Ru1 Ru 0.115 0.750 0.460
```

***

9.
Density functional theory data (GGA-PBE) for an optimized crystal structure of DyErScRu.

Values from the calculation:
formation energy: -0.0507 eV/atom
N(E_F): 19.6 states/eV/cell

```
data_DyErScRu
_chemical_formula_sum 'Dy4 Er4 Sc4 Ru4'
_space_group_name_H-M_alt 'F -4 3 m'
_space_group_IT_number 216
_space_group_name_Hall 'F -4 2 3'
_cell_length_a 7.111
_cell_length_b 7.111
_cell_length_c 7.111
_cell_angle_alpha 90.00
_cell_angle_beta 90.00
_cell_angle_gamma 90.00
loop_
_atom_site_label
_atom_site_type_symbol
_atom_site_fract_x
_atom_site_fract_y
_atom_site_fract_z
Dy1 Dy 0.000 0.000 0.000
Er1 Er 0.000 0.000 0.500
Sc1 Sc 0.250 0.250 0.250
Ru1 Ru 0.250 0.250 0.750
```

***

10.
Density functional theory data (GGA-PBE) for an optimized crystal structure of DyEr2ThRu4.

Values from the calculation:
formation energy: -0.4503 eV/atom
N(E_F): 11.8 states/eV/cell

```
data_DyEr2ThRu4
_chemical_formula_sum 'Dy3 Er6 Th3 Ru12'
_space_group_name_H-M_alt 'R -3 m'
_space_group_IT_number 166
_space_group_name_Hall '-R 3 2"'
_cell_length_a 4.8431
_cell_length_b 4.8431
_cell_length_c 23.6149
_cell_angle_alpha 90.00
_cell_angle_beta 90.00
_cell_angle_gamma 120.00
loop_
_atom_site_label
_atom_site_type_symbol
_atom_site_fract_x
_atom_site_fract_y
_atom_site_fract_z
Dy1 Dy 0.0000 0.0000 0.0000
Er1 Er 0.0000 0.0000 0.2540
Th1 Th 0.0000 0.0000 0.5000
Ru1 Ru 0.0000 0.0000 0.1270
Ru2 Ru 0.0000 0.0000 0.3777
```

***

11.
Density functional theory data (GGA-PBE) for an optimized crystal structure of DyEr2U2Ru5.

Values from the calculation:
formation energy: -0.2913 eV/atom
N(E_F): 13.2 states/eV/cell

```
data_DyEr2U2Ru5
_chemical_formula_sum 'Dy2 Er4 U4 Ru10'
_space_group_name_H-M_alt 'P 4/m b m'
_space_group_IT_number 127
_space_group_name_Hall '-P 4 2ab'
_cell_length_a 10.545
_cell_length_b 10.545
_cell_length_c 3.608
_cell_angle_alpha 90.00
_cell_angle_beta 90.00
_cell_angle_gamma 90.00
loop_
_atom_site_label
_atom_site_type_symbol
_atom_site_fract_x
_atom_site_fract_y
_atom_site_fract_z
Dy1 Dy 0.000 0.000 0.000
Er1 Er 0.174 0.326 0.000
U1 U 0.135 0.635 0.000
Ru1 Ru 0.000 0.500 0.500
Ru2 Ru 0.054 0.787 0.500
```

***

12.
Density functional theory data (GGA-PBE) for an optimized crystal structure of DyErZnRu.

Values from the calculation:
formation energy: -0.4201 eV/atom
N(E_F): 2.7 states/eV/cell
excess energy over the best structure of this formula in the dataset: 0.0 meV per atom

```
data_DyErZnRu
_chemical_formula_sum 'Dy1 Er1 Zn1 Ru1'
_space_group_name_H-M_alt 'P 4 m m'
_space_group_IT_number 99
_space_group_name_Hall 'P 4 -2'
_cell_length_a 3.429
_cell_length_b 3.429
_cell_length_c 7.203
_cell_angle_alpha 90.00
_cell_angle_beta 90.00
_cell_angle_gamma 90.00
loop_
_atom_site_label
_atom_site_type_symbol
_atom_site_fract_x
_atom_site_fract_y
_atom_site_fract_z
Dy1 Dy 0.000 0.000 0.000
Er1 Er 0.000 0.000 0.459
Zn1 Zn 0.500 0.500 0.725
Ru1 Ru 0.500 0.500 0.233
```